The following is a PBE calculation of a geometry-optimized TaFeNiRu structure, from Alexandria via LeMat-Bulk.

Results
The density of states at the Fermi level is 3.69 states/eV per cell. As for the space group: Pmmm (47). For the energy relative to the lowest polymorph listed for this composition, the calculation gives 0 kJ/mol of formula units. As for the formation energy from the elements: -223 meV/atom.

a b c (Å): 3.724 3.789 3.815
angles (deg): 90.00 90.00 90.00
Fractional positions:
Ta1 0.000 0.000 0.000
Fe1 0.000 0.500 0.500
Ni1 0.500 0.000 0.500
Ru1 0.500 0.500 0.000